# 1
Material: Rb3PuO6
Method: DFT, PBE-GGA
State: optimized geometry

Cell: 6.539 6.539 9.548 Å, 90.00 90.00 90.00°
Site moments in Bohr magnetons follow the coordinates.
Positions (direct):
Rb (0.500, 0.000, 0.750)  0.00
Rb (0.000, 0.500, 0.250)  0.00
Rb (0.000, 0.500, 0.750)  0.00
Rb (0.500, 0.000, 0.250)  0.00
Rb (0.000, 0.000, 0.500)  0.01
Rb (0.500, 0.500, 0.000)  0.01
Pu (0.000, 0.000, 0.000)  0.06
Pu (0.500, 0.500, 0.500)  0.06
O (0.500, 0.500, 0.705)  0.14
O (0.500, 0.500, 0.295)  0.14
O (0.363, 0.764, 0.500)  0.15
O (0.000, 0.000, 0.205)  0.14
O (0.137, 0.264, 0.000)  0.15
O (0.264, 0.863, 0.000)  0.15
O (0.236, 0.363, 0.500)  0.15
O (0.764, 0.637, 0.500)  0.15
O (0.736, 0.137, 0.000)  0.15
O (0.863, 0.736, 0.000)  0.15
O (0.637, 0.236, 0.500)  0.15
O (0.000, 0.000, 0.795)  0.14

Formation energy from raw total energies in kJ/mol of formula units: -1728
Size of the total moment in μB/f.u.: 1.16
Total DFT energy (no corrections) in eV/atom: -6.4898
Space group: P4/mnc (128)



# 2
Material: RbPu2O7
Method: DFT, PBE-GGA
State: optimized geometry

Cell: 4.172 7.254 7.254 Å, 128.09 90.00 90.00°
Site moments in Bohr magnetons follow the coordinates.
Positions (direct):
Pu (0.500, 0.660, 0.340)  1.98
Pu (0.500, 0.340, 0.660)  1.98
O (0.000, 0.338, 0.662)  -0.15
O (0.500, 0.944, 0.639)  -0.11
O (0.500, 0.361, 0.056)  -0.11
O (0.000, 0.662, 0.338)  -0.15
O (0.500, 0.639, 0.944)  -0.11
O (0.500, 0.500, 0.500)  -0.16
O (0.500, 0.056, 0.361)  -0.11
Rb (0.000, 0.000, 0.000)  0.00

Formation energy from raw total energies in kJ/mol of formula units: -2219
Size of the total moment in μB/f.u.: 3.00
Total DFT energy (no corrections) in eV/atom: -8.7337
Space group: Cmmm (65)



# 3
Material: RbPuO2
Method: DFT, PBE-GGA
State: optimized geometry

Cell: 3.092 3.092 6.780 Å, 90.00 90.00 90.00°
Site moments in Bohr magnetons follow the coordinates.
Positions (direct):
Pu (0.500, 0.500, 0.000)  5.08
Rb (0.500, 0.500, 0.500)  0.01
O (0.000, 0.000, 0.808)  -0.08
O (0.000, 0.000, 0.192)  -0.08

Formation energy from raw total energies in kJ/mol of formula units: -741
Size of the total moment in μB/f.u.: 5.00
Total DFT energy (no corrections) in eV/atom: -8.2247
Space group: P4/mmm (123)



# 4
Material: RbPu4O8
Method: DFT, PBE-GGA
State: optimized geometry

Cell: 7.126 7.126 7.126 Å, 60.00 60.00 60.00°
Site moments in Bohr magnetons follow the coordinates.
Positions (direct):
O (0.598, 0.598, 0.598)  -0.13
O (0.152, 0.152, 0.152)  -0.14
O (0.152, 0.152, 0.545)  -0.14
O (0.545, 0.152, 0.152)  -0.14
O (0.598, 0.206, 0.598)  -0.13
O (0.206, 0.598, 0.598)  -0.13
O (0.152, 0.545, 0.152)  -0.14
O (0.598, 0.598, 0.206)  -0.13
Pu (0.877, 0.374, 0.374)  4.47
Pu (0.374, 0.877, 0.374)  4.47
Pu (0.374, 0.374, 0.877)  4.47
Pu (0.374, 0.374, 0.374)  4.47
Rb (0.750, 0.750, 0.750)  0.00

Formation energy from raw total energies in kJ/mol of formula units: -3475
Size of the total moment in μB/f.u.: 17.00
Total DFT energy (no corrections) in eV/atom: -10.3056
Space group: F-43m (216)



# 5
Material: Rb4PuO6
Method: DFT, PBE-GGA
State: optimized geometry

Cell: 7.837 7.837 7.837 Å, 91.53 91.53 88.47°
Positions (direct):
Rb (0.250, 0.606, 0.106)
Rb (0.394, 0.106, 0.250)
Rb (0.106, 0.750, 0.606)
Rb (0.606, 0.894, 0.750)
Rb (0.894, 0.250, 0.394)
Rb (0.250, 0.250, 0.750)
Rb (0.750, 0.394, 0.894)
Rb (0.750, 0.750, 0.250)
O (0.056, 0.934, 0.239)
O (0.444, 0.739, 0.434)
O (0.934, 0.761, 0.944)
O (0.739, 0.566, 0.556)
O (0.434, 0.556, 0.739)
O (0.566, 0.444, 0.261)
O (0.761, 0.056, 0.066)
O (0.944, 0.066, 0.761)
O (0.239, 0.944, 0.934)
O (0.261, 0.434, 0.444)
O (0.066, 0.239, 0.056)
O (0.556, 0.261, 0.566)
Pu (0.500, 0.500, 0.500)
Pu (0.000, 0.000, 0.000)

Formation energy from raw total energies in kJ/mol of formula units: -2013
Size of the total moment in μB/f.u.: 0.00
Total DFT energy (no corrections) in eV/atom: -6.2563
Space group: R-3c (167)



# 6
Material: Rb2PuO6
Method: DFT, PBE-GGA
State: optimized geometry

Cell: 4.157 6.711 6.888 Å, 120.91 89.98 98.24°
Site moments in Bohr magnetons follow the coordinates.
Positions (direct):
Rb (0.760, 0.327, 0.663)  0.00
Rb (0.240, 0.673, 0.337)  0.00
O (0.153, 0.082, 0.276)  -0.08
O (0.153, 0.083, 0.806)  -0.08
O (0.338, 0.681, 0.840)  -0.10
O (0.847, 0.917, 0.194)  -0.08
O (0.847, 0.918, 0.724)  -0.08
O (0.662, 0.319, 0.160)  -0.10
Pu (0.500, 0.000, 0.000)  2.55

Formation energy from raw total energies in kJ/mol of formula units: -1499
Size of the total moment in μB/f.u.: 2.00
Total DFT energy (no corrections) in eV/atom: -6.8388
Space group: C2/m (12)



# 7
Material: RbPu2O4
Method: DFT, PBE-GGA
State: optimized geometry

Cell: 3.515 6.079 11.570 Å, 90.00 90.00 106.80°
Site moments in Bohr magnetons follow the coordinates.
Positions (direct):
O (0.500, 0.000, 0.500)  -0.12
O (0.085, 0.170, 0.250)  -0.13
O (0.755, 0.509, 0.093)  -0.13
O (0.755, 0.509, 0.407)  -0.13
O (0.500, 0.000, 0.000)  -0.12
O (0.245, 0.491, 0.593)  -0.13
O (0.245, 0.491, 0.907)  -0.13
O (0.915, 0.830, 0.750)  -0.13
Pu (0.134, 0.268, 0.069)  4.63
Pu (0.866, 0.732, 0.569)  4.63
Pu (0.866, 0.732, 0.931)  4.63
Pu (0.134, 0.268, 0.431)  4.63
Rb (0.391, 0.782, 0.250)  0.01
Rb (0.609, 0.218, 0.750)  0.01

Formation energy from raw total energies in kJ/mol of formula units: -1801
Size of the total moment in μB/f.u.: 9.00
Total DFT energy (no corrections) in eV/atom: -9.7331
Space group: Cmcm (63)



# 8
Material: Rb3Pu4O12
Method: DFT, PBE-GGA
State: optimized geometry

Cell: 7.398 7.398 7.398 Å, 109.47 109.47 109.47°
Site moments in Bohr magnetons follow the coordinates.
Positions (direct):
O (0.747, 0.494, 0.747)  -0.16
O (0.747, 0.747, 0.494)  -0.16
O (0.253, 0.000, 0.747)  -0.16
O (0.000, 0.747, 0.253)  -0.16
O (0.253, 0.506, 0.253)  -0.16
O (0.747, 0.000, 0.253)  -0.16
O (0.747, 0.253, 0.000)  -0.16
O (0.253, 0.253, 0.506)  -0.16
O (0.506, 0.253, 0.253)  -0.16
O (0.000, 0.253, 0.747)  -0.16
O (0.253, 0.747, 0.000)  -0.16
O (0.494, 0.747, 0.747)  -0.16
Pu (0.500, 0.500, 0.500)  3.24
Pu (0.000, 0.000, 0.500)  3.24
Pu (0.000, 0.500, 0.000)  3.24
Pu (0.500, 0.000, 0.000)  3.24
Rb (0.500, 0.000, 0.500)  0.00
Rb (0.000, 0.500, 0.500)  0.00
Rb (0.500, 0.500, 0.000)  0.00

Formation energy from raw total energies in kJ/mol of formula units: -4637
Size of the total moment in μB/f.u.: 11.00
Total DFT energy (no corrections) in eV/atom: -8.8310
Space group: Im-3m (229)



# 9
Material: Rb4PuO5
Method: DFT, PBE-GGA
State: optimized geometry

Cell: 5.742 6.820 6.820 Å, 79.79 65.10 65.10°
Site moments in Bohr magnetons follow the coordinates.
Positions (direct):
Rb (0.216, 0.193, 0.396)  0.00
Rb (0.612, 0.604, 0.193)  0.00
Rb (0.409, 0.396, 0.807)  0.00
Rb (0.805, 0.807, 0.604)  0.00
O (0.790, 0.149, 0.290)  -0.09
O (0.229, 0.851, 0.710)  -0.09
O (0.396, 0.000, 0.000)  -0.08
O (0.940, 0.290, 0.851)  -0.09
O (0.080, 0.710, 0.149)  -0.09
Pu (0.034, 0.000, 0.000)  2.44

Formation energy from raw total energies in kJ/mol of formula units: -1877
Size of the total moment in μB/f.u.: 2.00
Total DFT energy (no corrections) in eV/atom: -6.2446
Space group: I4 (79)



# 10
Material: Rb4PuO4
Method: DFT, PBE-GGA
State: optimized geometry

Cell: 6.940 6.940 7.748 Å, 116.61 116.61 90.00°
Site moments in Bohr magnetons follow the coordinates.
Positions (direct):
Rb (0.294, 0.294, 0.589)  0.01
Rb (0.500, 0.000, 0.000)  0.01
Rb (0.000, 0.500, 0.000)  0.01
Rb (0.706, 0.706, 0.411)  0.01
Pu (0.000, 0.000, 0.000)  4.03
O (0.725, 0.725, 0.797)  -0.10
O (0.072, 0.072, 0.797)  -0.10
O (0.275, 0.928, 0.203)  -0.10
O (0.928, 0.275, 0.203)  -0.10

Formation energy from raw total energies in kJ/mol of formula units: -1462
Size of the total moment in μB/f.u.: 4.00
Total DFT energy (no corrections) in eV/atom: -5.9092
Space group: I-42m (121)



# 11
Material: Rb3Pu2O7
Method: DFT, PBE-GGA
State: optimized geometry

Cell: 4.324 4.324 11.816 Å, 100.54 100.54 90.00°
Site moments in Bohr magnetons follow the coordinates.
Positions (direct):
O (0.000, 0.000, 0.000)  -0.13
O (0.093, 0.593, 0.187)  -0.13
O (0.180, 0.180, 0.359)  -0.14
O (0.593, 0.093, 0.187)  -0.13
O (0.820, 0.820, 0.641)  -0.14
O (0.407, 0.907, 0.813)  -0.13
O (0.907, 0.407, 0.813)  -0.13
Pu (0.906, 0.906, 0.812)  2.96
Pu (0.094, 0.094, 0.188)  2.96
Rb (0.690, 0.690, 0.380)  0.00
Rb (0.500, 0.500, 0.000)  0.00
Rb (0.310, 0.310, 0.620)  0.00

Formation energy from raw total energies in kJ/mol of formula units: -2761
Size of the total moment in μB/f.u.: 5.00
Total DFT energy (no corrections) in eV/atom: -7.9071
Space group: I4/mmm (139)



# 12
Material: Rb5PuO6
Method: DFT, PBE-GGA
State: optimized geometry

Cell: 6.699 6.875 6.840 Å, 59.83 79.88 69.53°
Site moments in Bohr magnetons follow the coordinates.
Positions (direct):
O (0.192, 0.694, 0.243)  -0.06
O (0.813, 0.821, 0.000)  -0.06
O (0.192, 0.937, 0.757)  -0.06
O (0.808, 0.063, 0.243)  -0.06
O (0.187, 0.179, 0.000)  -0.06
O (0.808, 0.306, 0.757)  -0.06
Rb (0.500, 0.163, 0.673)  0.00
Rb (0.000, 0.333, 0.334)  0.00
Rb (0.500, 0.500, 0.000)  0.00
Rb (0.000, 0.667, 0.666)  0.00
Rb (0.500, 0.837, 0.327)  0.00
Pu (0.000, 0.000, 0.000)  1.44

Formation energy from raw total energies in kJ/mol of formula units: -2211
Size of the total moment in μB/f.u.: 1.00
Total DFT energy (no corrections) in eV/atom: -5.9863
Space group: C2/m (12)